DFT (PBE+U) results for a relaxed Ca2VSbO6 crystal.

Structure (CIF):
```
data_Ca2VSbO6
_chemical_formula_sum 'Ca4 V2 Sb2 O12'
_cell_length_a 5.480
_cell_length_b 5.651
_cell_length_c 9.537
_cell_angle_alpha 90.00
_cell_angle_beta 124.82
_cell_angle_gamma 90.00
_space_group_name_H-M_alt 'P 1 21/c 1'
_space_group_IT_number 14
loop_
_space_group_symop_operation_xyz
'x,y,z'
'-x,-y,-z'
'-x,y+1/2,-z+1/2'
'x,-y+1/2,z+1/2'
loop_
_atom_site_label
_atom_site_fract_x
_atom_site_fract_y
_atom_site_fract_z
Ca1 0.237 0.049 0.250
V1 0.000 0.000 0.500
Sb1 0.500 0.000 0.000
O1 0.157 0.199 0.952
O2 0.250 0.708 0.949
O3 0.347 0.033 0.752
```

Results
The excess energy over the best structure of this formula in the dataset comes out at 0.000 eV/atom. The calculation puts the total moment at 4.0 μB/cell.